Record 1
Re2OsPt | Alexandria | PBE | optimized geometry; energy of formation from the pure elements = 0.352 eV per atom; relative energy among the computed polymorphs = 456.9 meV/atom; total magnetic moment = 0.628 μB/f.u.; Fermi-level density of states = 4.835 states/eV/cell
1.0
-0.819 -2.145 -2.374
1.088 -2.491 1.875
-5.086 -0.536 2.240
Os Pt Re
1 1 2
Direct
0.000 0.000 0.496
0.500 0.500 0.747
0.000 0.000 0.002
0.500 0.500 0.256

Record 2
Re2OsPt | Alexandria | PBE | optimized geometry; energy of formation from the pure elements = 0.019 eV per atom; relative energy among the computed polymorphs = 124.7 meV/atom; total magnetic moment = 0.000 μB/f.u.; Fermi-level density of states = 3.796 states/eV/cell
1.0
2.751 0.000 0.000
0.000 2.751 0.000
0.000 0.000 7.918
Os Pt Re
1 1 2
Direct
0.000 0.000 0.486
0.500 0.500 0.753
0.000 0.000 0.002
0.500 0.500 0.259

Q: The lowest total magnetic moment belongs to which entry?
A: number 2

Q: The lowest Fermi-level density of states belongs to which entry?
A: number 2

Q: Number 2 is which compound?
A: Re2OsPt